1.
{
  "formula": "Ca2LaTa",
  "functional": "GGA-PBE",
  "state": "optimized geometry",
  "cell": [[-5.7580, -0.4269, 1.6058], [4.4812, -0.1007, 5.2843], [-0.1640, 3.0862, 1.0834]],
  "species": ["Ca", "Ca", "La", "Ta"],
  "fractional_positions": [[0.0000, 0.0000, 0.0000], [0.5000, 0.0000, 0.5000], [0.0000, 0.5000, 0.5000], [0.5000, 0.5000, 0.0000]],
  "dft_energy_ev_per_atom": -4.537,
  "delta_e_f_ev_per_atom": 0.6585,
  "vol_a3_per_atom": 29.79
}

=====

2.
{
  "formula": "CaLa2Ta",
  "functional": "GGA-PBE",
  "state": "optimized geometry",
  "cell": [[-2.5919, -2.7316, -3.3209], [2.4405, 0.4787, -2.2986], [5.7091, -5.3762, -0.0336]],
  "species": ["Ca", "La", "La", "Ta"],
  "fractional_positions": [[0.5000, 0.7733, 0.7260], [0.0000, 0.9780, 0.0223], [0.5000, 0.2267, 0.2734], [0.0000, 0.5220, 0.4783]],
  "dft_energy_ev_per_atom": -5.403,
  "delta_e_f_ev_per_atom": 0.5241,
  "vol_a3_per_atom": 30.09
}